(w)
HoTm3Ir3 | Alexandria | PBE | relaxed; mass density = 12.4 g/cm3
1.0
-3.7341 5.8295 -1.7593
-2.8482 -5.7654 -3.1098
-4.4417 -0.9551 5.2858
Ho Tm Ir
2 6 6
Direct
0.7260 0.7260 0.8666
0.2740 0.2740 0.1334
0.6384 0.6384 0.3569
0.1414 0.8586 0.5000
0.8586 0.1414 0.5000
0.2313 0.7687 0.0000
0.7687 0.2313 0.0000
0.3616 0.3616 0.6431
0.9367 0.9367 0.1828
0.8186 0.4697 0.6478
0.4697 0.8186 0.6478
0.1814 0.5303 0.3522
0.5303 0.1814 0.3522
0.0633 0.0633 0.8172



(x)
HoTm3Ir3 | Alexandria | PBE | relaxed; mass density = 13.4 g/cm3
1.0
5.5235 0.0112 -1.9556
-2.7533 4.7600 -1.9483
-0.0065 0.0112 5.8595
Ho Tm Ir
1 3 3
Direct
0.0000 0.5030 0.0000
0.4996 0.0036 0.0000
0.5004 0.5039 0.5004
0.0000 0.0036 0.4996
0.5001 0.5037 0.0000
0.4999 0.0036 0.4999
0.0000 0.5037 0.5001



Relative stability in kJ/mol of atoms, measured from the most stable structure: (w) 21.9; (x) 0.0



(w)
HoTm3Ir2 | Alexandria | PBE | relaxed; mass density = 12.4 g/cm3
1.0
-1.2361 1.8288 -3.9600
-6.3208 -3.3769 0.4135
-3.3734 6.8295 4.2071
Ho Tm Ir
2 6 4
Direct
0.5000 0.5104 0.5868
0.5000 0.0104 0.4132
0.0000 0.4896 0.9129
0.0000 0.9896 0.0871
0.5000 0.6422 0.1708
0.5000 0.1422 0.8292
0.0000 0.3582 0.3273
0.0000 0.8582 0.6727
0.5000 0.7443 0.8465
0.5000 0.2443 0.1535
0.0000 0.2552 0.6550
0.0000 0.7552 0.3450



(x)
HoTm3Ir2 | Alexandria | PBE | relaxed; mass density = 11.2 g/cm3
1.0
-4.1038 4.1386 3.2637
-5.3373 -2.2507 -3.8570
3.4722 -5.7606 4.8348
Ho Tm Ir
2 6 4
Direct
0.0000 0.5000 0.0000
0.0000 0.0000 0.0000
0.5000 0.2500 0.0000
0.5000 0.7500 0.0000
0.7656 0.0156 0.5313
0.2344 0.4844 0.4687
0.2344 0.9844 0.4687
0.7656 0.5156 0.5313
0.5737 0.3616 0.7231
0.8506 0.1384 0.2769
0.1494 0.8616 0.7231
0.4263 0.6384 0.2769



Relative stability in kJ/mol of atoms, measured from the most stable structure: (w) 0.0; (x) 8.9



(w)
Ho3TmIr2 | Alexandria | PBE | relaxed; mass density = 11.0 g/cm3
1.0
6.7035 0.0000 0.0000
0.0000 7.0210 0.0000
-3.3517 -3.5105 6.7446
Ho Tm Ir
6 2 4
Direct
0.5000 0.2500 0.0000
0.5000 0.7500 0.0000
0.7667 0.0167 0.5333
0.2333 0.4833 0.4667
0.2333 0.9833 0.4667
0.7667 0.5167 0.5333
0.0000 0.5000 0.0000
0.0000 0.0000 0.0000
0.5756 0.3622 0.7243
0.8513 0.1378 0.2757
0.1487 0.8622 0.7243
0.4244 0.6378 0.2757



(x)
Ho3TmIr2 | Alexandria | PBE | relaxed; mass density = 12.1 g/cm3
1.0
-2.2090 0.5158 -3.6237
-2.7533 -3.4838 1.1836
-2.0045 6.1980 4.6202
Ho Tm Ir
3 1 2
Direct
0.5000 0.5000 0.0000
0.8154 0.3157 0.6309
0.1846 0.6843 0.3691
0.0000 0.0000 0.0000
0.3718 0.8712 0.7430
0.6282 0.1288 0.2570



Relative stability in kJ/mol of atoms, measured from the most stable structure: (w) 0.0; (x) 5.5